Record 1
Density functional theory data (PBE-GGA) for Ce2ThFe after structural relaxation.

ΔH_f (0 K): 0.1302 eV per atom
crystal system: trigonal

a b c (Å): 9.118 9.118 9.118
angles (deg): 23.28 23.28 23.28
Atoms (fractional coordinates):
1 Ce 0.000 0.000 0.000
2 Ce 0.217 0.217 0.217
3 Th 0.441 0.441 0.441
4 Fe 0.606 0.606 0.606


Record 2
Density functional theory data (PBE-GGA) for Ce2ThFe after structural relaxation.

ΔH_f (0 K): 0.3246 eV per atom
crystal system: trigonal

a b c (Å): 6.188 6.188 6.188
angles (deg): 41.52 41.52 41.52
Atoms (fractional coordinates):
1 Ce 0.230 0.230 0.230
2 Ce 0.770 0.770 0.770
3 Th 0.000 0.000 0.000
4 Fe 0.500 0.500 0.500


| no. | polymorph energy (0 for the lowest one) (meV/atom) | calculated total energy (eV/atom) |
| --- | --- | --- |
| 1 | 201 | -6.807 |
| 2 | 396 | -6.613 |